(1)
Density functional theory data (PBE) for Cs2VCuS4 after structural relaxation.

The calculation puts the uncorrected formation energy at -8.46 eV per formula unit. Its volume is 1945 Å³ per cell. The calculation puts the density at 3.5 Mg/m³.

The space group is Fddd (No. 70, origin choice 2) and the conventional cell measures 5.4631, 14.2996 and 24.8925 Å, with angles of 90.00, 90.00 and 90.00 degrees. The asymmetric unit holds Cs at (0.1250, 0.1250, 0.3004), V at (0.1250, 0.1250, 0.6250), Cu at (0.1250, 0.1250, 0.1250) and S at (0.1067, 0.2860, 0.8250).

---

(2)
Density functional theory data (PBE) for Ca2MoPt after structural relaxation.

For the energy of formation from the pure elements, the calculation gives 0.270 eV per atom. For the energy above the most stable polymorph in this dataset, the calculation gives 0.213 eV per atom. Its volume is 175 Å³ per cell. The calculation puts the density at 7.1 Mg/m³.

The space group is Immm (No. 71) and the conventional cell measures 3.8791, 4.8294 and 9.3188 Å, with angles of 90.00, 90.00 and 90.00 degrees. The asymmetric unit holds Ca at (0.0000, 0.0000, 0.2278), Mo at (0.0000, 0.5000, 0.0000) and Pt at (0.0000, 0.5000, 0.5000).

---

(3)
Density functional theory data (PBE) for BaH2F4 after structural relaxation.

For the energy above the most stable polymorph in this dataset, the calculation gives 0.005 eV per atom. Its volume is 337 Å³ per cell. The calculation puts the density at 4.3 Mg/m³.

The space group is Cc (No. 9) and the conventional cell measures 7.8645, 4.9441 and 9.4684 Å, with angles of 90.00, 113.92 and 90.00 degrees. The asymmetric unit holds Ba at (0.0000, 0.1009, 0.0000), H at (0.0005, 0.5003, 0.2501), H at (0.2504, 0.2492, 0.7502), F at (0.0890, 0.4492, 0.3789), F at (0.1986, 0.0619, 0.7938), F at (0.3021, 0.4368, 0.7064) and F at (0.4119, 0.0517, 0.1212).

---

(4)
Density functional theory data (PBE) for Rb2TmRuO6 after structural relaxation.

The calculation puts the uncorrected formation energy at -16.03 eV per formula unit. Its volume is 199 Å³ per cell. The calculation puts the density at 4.5 Mg/m³.

The space group is P-3m1 (No. 164) and the conventional cell measures 6.3798, 6.3798 and 5.6472 Å, with angles of 90.00, 90.00 and 120.00 degrees. The asymmetric unit holds Rb at (0.3333, 0.6667, 0.3630), Tm at (0.0000, 0.0000, 0.0000), Ru at (0.0000, 0.0000, 0.5000) and O at (0.1373, 0.2747, 0.7097).

---

(5)
Density functional theory data (PBE) for Y3Cu5H12 after structural relaxation.

Its volume is 1548 Å³ per cell. The calculation puts the density at 5.1 Mg/m³. Its calculated total energy is -4.223 eV per atom.

The space group is Ia-3d (No. 230) and the conventional cell measures 11.5682, 11.5682 and 11.5682 Å, with angles of 90.00, 90.00 and 90.00 degrees. The asymmetric unit holds Y at (0.0000, 0.2500, 0.1250), Cu at (0.0000, 0.0000, 0.0000), Cu at (0.0000, 0.2500, 0.3750) and H at (0.0310, 0.0527, 0.6503).

---

(6)
Density functional theory data (PBE) for DyTm3Sb3 after structural relaxation.

For the energy above the most stable polymorph in this dataset, the calculation gives 0.085 eV per atom. The calculation puts the uncorrected formation energy at -5.96 eV per formula unit. Its volume is 1243 Å³ per cell. The calculation puts the density at 8.3 Mg/m³.

The space group is R-3 (No. 148, hexagonal axes) and the conventional cell measures 8.8709, 8.8709 and 18.2433 Å, with angles of 90.00, 90.00 and 120.00 degrees. The asymmetric unit holds Dy at (0.0000, 0.0000, 0.1657), Tm at (0.0019, 0.7415, 0.5832) and Sb at (0.0037, 0.6149, 0.4166).